P | Entry from the Alexandria database: an optimized crystal structure of CdRe2N (GGA-PBE).

a = 4.3133 Å, b = 4.3133 Å, c = 4.3133 Å
α = 60.00°, β = 60.00°, γ = 60.00°
Element x y z (fractional)
1 Re 0.7500 0.7500 0.7500
2 Re 0.2500 0.2500 0.2500
3 N 0.0000 0.0000 0.0000
4 Cd 0.5000 0.5000 0.5000

Values from the calculation:
The density of states at the Fermi level comes out at 5.90 states/eV/f.u.


Q | Entry from the Alexandria database: an optimized crystal structure of CdRe2N (GGA-PBE).

a = 5.0877 Å, b = 5.0877 Å, c = 6.6962 Å
α = 67.67°, β = 67.67°, γ = 90.00°
Element x y z (fractional)
1 Cd 0.7500 0.2500 0.5000
2 Cd 0.0000 0.0000 0.0000
3 N 0.2500 0.7500 0.5000
4 N 0.5000 0.5000 0.0000
5 Re 0.2899 0.6250 0.2500
6 Re 0.3750 0.5399 0.7500
7 Re 0.8750 0.7101 0.7500
8 Re 0.4601 0.1250 0.2500

Values from the calculation:
The density of states at the Fermi level comes out at 3.66 states/eV/f.u.


Which is most stable, and by how much? Q, by 901 meV per atom.


P | Entry from the Alexandria database: an optimized crystal structure of CdRhSeN2 (GGA-PBE).

a = 4.0855 Å, b = 4.0855 Å, c = 5.9206 Å
α = 90.00°, β = 90.00°, γ = 90.00°
Element x y z (fractional)
1 Se 0.0000 0.0000 0.5000
2 Cd 0.0000 0.0000 0.0000
3 Rh 0.5000 0.5000 0.5000
4 N 0.0000 0.5000 0.0000
5 N 0.5000 0.0000 0.0000

Values from the calculation:
The density of states at the Fermi level comes out at 7.15 states/eV/f.u.


Q | Entry from the Alexandria database: an optimized crystal structure of CdRhSeN2 (GGA-PBE).

a = 3.8540 Å, b = 3.8540 Å, c = 5.6066 Å
α = 90.00°, β = 90.00°, γ = 90.00°
Element x y z (fractional)
1 N 0.0000 0.5000 0.0000
2 N 0.5000 0.0000 0.0000
3 Cd 0.5000 0.5000 0.5000
4 Rh 0.0000 0.0000 0.0000
5 Se 0.0000 0.0000 0.5000

Values from the calculation:
The density of states at the Fermi level comes out at 2.97 states/eV/f.u.


Which is most stable, and by how much? Q, by 1185 meV per atom.


P | Entry from the Alexandria database: an optimized crystal structure of Cd3RuN (GGA-PBE).

a = 5.2647 Å, b = 5.2647 Å, c = 5.2647 Å
α = 90.00°, β = 90.00°, γ = 90.00°
Element x y z (fractional)
1 Ru 0.0000 0.0000 0.0000
2 Cd 0.0000 0.5000 0.0000
3 Cd 0.5000 0.0000 0.0000
4 Cd 0.0000 0.0000 0.5000
5 N 0.5000 0.5000 0.5000

Values from the calculation:
The density of states at the Fermi level comes out at 4.36 states/eV/f.u.


Q | Entry from the Alexandria database: an optimized crystal structure of Cd3RuN (GGA-PBE).

a = 4.4935 Å, b = 4.4935 Å, c = 4.4935 Å
α = 90.00°, β = 90.00°, γ = 90.00°
Element x y z (fractional)
1 Ru 0.5000 0.5000 0.5000
2 Cd 0.5000 0.0000 0.0000
3 Cd 0.0000 0.0000 0.5000
4 Cd 0.0000 0.5000 0.0000
5 N 0.0000 0.0000 0.0000

Values from the calculation:
The density of states at the Fermi level comes out at 3.75 states/eV/f.u.


Which is most stable, and by how much? Q, by 638 meV per atom.